No. 1
Entry from the Open Quantum Materials Database: a relaxed YNi4Te3 crystal (PBE-GGA).

Properties
* calculated volume: 18.02 A^3/atom
* theoretical density: 8.14 g cm⁻³
* magnetization: 0.0 μB/f.u.
* final energy: -5.132 eV per atom

```
data_YNi4Te3
_cell_length_a 5.528
_cell_length_b 3.851
_cell_length_c 6.937
_cell_angle_alpha 90.00
_cell_angle_beta 102.52
_cell_angle_gamma 90.00
_space_group_name_H-M_alt 'P 1 m 1'
_space_group_IT_number 6
loop_
_space_group_symop_operation_xyz
'x,y,z'
'x,-y,z'
loop_
_atom_site_label
_atom_site_fract_x
_atom_site_fract_y
_atom_site_fract_z
Y1 0.000 0.000 0.000
Ni1 0.122 0.500 0.676
Ni2 0.421 0.000 0.653
Ni3 0.523 0.000 0.215
Ni4 0.845 0.500 0.285
Te1 0.302 0.500 0.362
Te2 0.515 0.500 0.938
Te3 0.843 0.000 0.552
```

---

No. 2
Entry from the Open Quantum Materials Database: a relaxed AcThCo crystal (PBE-GGA).

Properties
* calculated volume: 29.00 A^3/atom
* theoretical density: 9.89 g cm⁻³
* magnetization: 0.0 μB/f.u.
* DFT formation energy: 0.92 eV per atom

```
data_AcThCo
_cell_length_a 7.034
_cell_length_b 7.034
_cell_length_c 7.034
_cell_angle_alpha 90.00
_cell_angle_beta 90.00
_cell_angle_gamma 90.00
_space_group_name_H-M_alt 'F -4 3 m'
_space_group_IT_number 216
_space_group_name_Hall 'F -4 2 3'
loop_
_atom_site_label
_atom_site_fract_x
_atom_site_fract_y
_atom_site_fract_z
Ac1 0.000 0.000 0.000
Th1 0.250 0.250 0.750
Co1 0.000 0.000 0.500
```

---

No. 3
Entry from the Open Quantum Materials Database: a relaxed TmSiHO4 crystal (PBE-GGA).

Properties
* calculated volume: 10.79 A^3/atom
* theoretical density: 5.76 g cm⁻³
* magnetization: 0.0 μB/f.u.
* final energy: -7.474 eV per atom

```
data_TmSiHO4
_cell_length_a 7.628
_cell_length_b 6.422
_cell_length_c 6.702
_cell_angle_alpha 90.00
_cell_angle_beta 113.01
_cell_angle_gamma 90.00
_space_group_name_H-M_alt 'P 1 21/c 1'
_space_group_IT_number 14
loop_
_space_group_symop_operation_xyz
'x,y,z'
'-x,-y,-z'
'-x,y+1/2,-z+1/2'
'x,-y+1/2,z+1/2'
loop_
_atom_site_label
_atom_site_fract_x
_atom_site_fract_y
_atom_site_fract_z
Tm1 0.205 0.140 0.109
Si1 0.246 0.606 0.134
H1 0.474 0.687 0.886
O1 0.101 0.698 0.557
O2 0.201 0.065 0.786
O3 0.275 0.036 0.447
O4 0.466 0.708 0.275
```

---

No. 4
Entry from the Open Quantum Materials Database: a relaxed SrLiIn4Au2 crystal (PBE-GGA).

Properties
* calculated volume: 24.51 A^3/atom
* theoretical density: 8.03 g cm⁻³
* final energy: -3.049 eV per atom

```
data_SrLiIn4Au2
_cell_length_a 7.889
_cell_length_b 4.603
_cell_length_c 10.797
_cell_angle_alpha 90.00
_cell_angle_beta 90.00
_cell_angle_gamma 90.00
_space_group_name_H-M_alt 'A m m 2'
_space_group_IT_number 38
loop_
_space_group_symop_operation_xyz
'x,y,z'
'-x,-y,z'
'-x,y,z'
'x,-y,z'
'x,y+1/2,z+1/2'
'-x,-y+1/2,z+1/2'
'-x,y+1/2,z+1/2'
'x,-y+1/2,z+1/2'
loop_
_atom_site_label
_atom_site_fract_x
_atom_site_fract_y
_atom_site_fract_z
Sr1 0.000 0.000 0.000
Li1 0.500 0.000 0.141
In1 0.213 0.000 0.706
In2 0.309 0.000 0.430
Au1 0.000 0.000 0.289
Au2 0.500 0.000 0.863
```

---

No. 5
Entry from the Open Quantum Materials Database: a relaxed NaDyCo crystal (PBE-GGA).

Properties
* calculated volume: 22.94 A^3/atom
* theoretical density: 5.90 g cm⁻³
* magnetization: 0.3 μB/f.u.
* final energy: -3.782 eV per atom

```
data_NaDyCo
_cell_length_a 6.505
_cell_length_b 6.505
_cell_length_c 6.505
_cell_angle_alpha 90.00
_cell_angle_beta 90.00
_cell_angle_gamma 90.00
_space_group_name_H-M_alt 'F -4 3 m'
_space_group_IT_number 216
_space_group_name_Hall 'F -4 2 3'
loop_
_atom_site_label
_atom_site_fract_x
_atom_site_fract_y
_atom_site_fract_z
Na1 0.000 0.000 0.000
Dy1 0.000 0.000 0.500
Co1 0.250 0.250 0.750
```

---

No. 6
Entry from the Open Quantum Materials Database: a relaxed BPd4 crystal (PBE-GGA).

Properties
* calculated volume: 13.94 A^3/atom
* theoretical density: 10.40 g cm⁻³
* final energy: -5.719 eV per atom

```
data_BPd4
_cell_length_a 5.804
_cell_length_b 11.627
_cell_length_c 5.010
_cell_angle_alpha 90.00
_cell_angle_beta 124.43
_cell_angle_gamma 90.00
_space_group_name_H-M_alt 'C 1 2/c 1'
_space_group_IT_number 15
loop_
_space_group_symop_operation_xyz
'x,y,z'
'-x,-y,-z'
'-x,y,-z+1/2'
'x,-y,z+1/2'
'x+1/2,y+1/2,z'
'-x+1/2,-y+1/2,-z'
'-x+1/2,y+1/2,-z+1/2'
'x+1/2,-y+1/2,z+1/2'
loop_
_atom_site_label
_atom_site_fract_x
_atom_site_fract_y
_atom_site_fract_z
B1 0.000 0.180 0.250
Pd1 0.244 0.442 0.751
Pd2 0.246 0.314 0.242
```

---

No. 7
Entry from the Open Quantum Materials Database: a relaxed SmYBr2NCl crystal (PBE-GGA).

Properties
* calculated volume: 26.97 A^3/atom
* theoretical density: 4.60 g cm⁻³
* magnetization: 0.0 μB/f.u.
* final energy: -6.049 eV per atom

```
data_SmYBr2NCl
_cell_length_a 17.347
_cell_length_b 3.927
_cell_length_c 11.183
_cell_angle_alpha 90.00
_cell_angle_beta 121.81
_cell_angle_gamma 90.00
_space_group_name_H-M_alt 'C 1 2/m 1'
_space_group_IT_number 12
loop_
_space_group_symop_operation_xyz
'x,y,z'
'-x,-y,-z'
'-x,y,-z'
'x,-y,z'
'x+1/2,y+1/2,z'
'-x+1/2,-y+1/2,-z'
'-x+1/2,y+1/2,-z'
'x+1/2,-y+1/2,z'
loop_
_atom_site_label
_atom_site_fract_x
_atom_site_fract_y
_atom_site_fract_z
Sm1 0.134 0.000 0.287
Y1 0.080 0.500 0.958
Br1 0.050 0.000 0.746
Br2 0.164 0.500 0.520
N1 0.072 0.500 0.153
Cl1 0.208 0.000 0.107
```

---

No. 8
Entry from the Open Quantum Materials Database: a relaxed TaAg2Ge2 crystal (PBE-GGA).

Properties
* calculated volume: 18.77 A^3/atom
* theoretical density: 9.59 g cm⁻³
* magnetization: 1.8 μB/f.u.
* final energy: -4.615 eV per atom

```
data_TaAg2Ge2
_cell_length_a 3.921
_cell_length_b 3.921
_cell_length_c 12.208
_cell_angle_alpha 90.00
_cell_angle_beta 90.00
_cell_angle_gamma 90.00
_space_group_name_H-M_alt 'I 4/m m m'
_space_group_IT_number 139
_space_group_name_Hall '-I 4 2'
loop_
_atom_site_label
_atom_site_fract_x
_atom_site_fract_y
_atom_site_fract_z
Ta1 0.000 0.000 0.000
Ag1 0.000 0.000 0.396
Ge1 0.000 0.500 0.250
```

---

No. 9
Entry from the Open Quantum Materials Database: a relaxed BaBiSbPtAu crystal (PBE-GGA).

Properties
* calculated volume: 27.06 A^3/atom
* theoretical density: 10.56 g cm⁻³
* magnetization: 0.0 μB/f.u.
* final energy: -4.558 eV per atom

```
data_BaBiSbPtAu
_cell_length_a 4.965
_cell_length_b 4.932
_cell_length_c 11.050
_cell_angle_alpha 90.00
_cell_angle_beta 90.61
_cell_angle_gamma 90.00
_space_group_name_H-M_alt 'P 1 21/m 1'
_space_group_IT_number 11
loop_
_space_group_symop_operation_xyz
'x,y,z'
'-x,-y,-z'
'-x,y+1/2,-z'
'x,-y+1/2,z'
loop_
_atom_site_label
_atom_site_fract_x
_atom_site_fract_y
_atom_site_fract_z
Ba1 0.245 0.250 0.240
Bi1 0.250 0.750 0.500
Sb1 0.273 0.250 0.867
Pt1 0.252 0.250 0.629
Au1 0.224 0.750 0.000
```

---

No. 10
Entry from the Open Quantum Materials Database: a relaxed ZnCdSi2As4 crystal (PBE-GGA).

Properties
* calculated volume: 23.41 A^3/atom
* theoretical density: 4.73 g cm⁻³
* final energy: -4.107 eV per atom

```
data_ZnCdSi2As4
_cell_length_a 5.798
_cell_length_b 5.798
_cell_length_c 11.142
_cell_angle_alpha 90.00
_cell_angle_beta 90.00
_cell_angle_gamma 90.00
_space_group_name_H-M_alt 'I -4'
_space_group_IT_number 82
loop_
_space_group_symop_operation_xyz
'x,y,z'
'y,-x,-z'
'-x,-y,z'
'-y,x,-z'
'x+1/2,y+1/2,z+1/2'
'y+1/2,-x+1/2,-z+1/2'
'-x+1/2,-y+1/2,z+1/2'
'-y+1/2,x+1/2,-z+1/2'
loop_
_atom_site_label
_atom_site_fract_x
_atom_site_fract_y
_atom_site_fract_z
Zn1 0.000 0.000 0.000
Cd1 0.000 0.500 0.250
Si1 0.000 0.000 0.500
Si2 0.000 0.500 0.750
As1 0.224 0.261 0.620
```

---

No. 11
Entry from the Open Quantum Materials Database: a relaxed GaAuSeO crystal (PBE-GGA).

Properties
* calculated volume: 16.70 A^3/atom
* theoretical density: 8.99 g cm⁻³
* final energy: -4.077 eV per atom

```
data_GaAuSeO
_cell_length_a 3.769
_cell_length_b 3.769
_cell_length_c 9.402
_cell_angle_alpha 90.00
_cell_angle_beta 90.00
_cell_angle_gamma 90.00
_space_group_name_H-M_alt 'P 4/n m m'
_space_group_IT_number 129
loop_
_space_group_symop_operation_xyz
'x,y,z'
'-x,-y,-z'
'-y+1/2,x,z'
'y+1/2,-x,-z'
'-x+1/2,-y+1/2,z'
'x+1/2,y+1/2,-z'
'y,-x+1/2,z'
'-y,x+1/2,-z'
'x+1/2,-y,-z'
'-x+1/2,y,z'
'-y,-x,-z'
'y,x,z'
'-x,y+1/2,-z'
'x,-y+1/2,z'
'y+1/2,x+1/2,-z'
'-y+1/2,-x+1/2,z'
loop_
_atom_site_label
_atom_site_fract_x
_atom_site_fract_y
_atom_site_fract_z
Ga1 0.250 0.250 0.094
Au1 0.250 0.750 0.500
Se1 0.250 0.250 0.722
O1 0.250 0.750 0.000
```